Entry 1:
# PuPa2Te

An optimized crystal structure of PuPa2Te (PBE, Alexandria).

Output
As for the uncorrected formation energy: -177.1 meV per atom. The symmetry is No. 123. For the polymorph energy (0 for the lowest one), the calculation gives 166 meV per atom.

```
4
Lattice="3.904 0.000 0.000 0.000 3.904 0.000 0.000 0.000 6.532" Properties=species:S:1:pos:R:3 pbc="T T T"
Pu 0.000 0.000 0.000
Pa 1.952 1.952 1.527
Pa 1.952 1.952 5.005
Te 0.000 0.000 3.266
```

---

Entry 2:
# PuPa3Tl3Te8

An optimized crystal structure of PuPa3Tl3Te8 (PBE, Alexandria).

Output
As for the uncorrected formation energy: -686.3 meV per atom. The symmetry is No. 166.

```
15
Lattice="4.396 2.538 8.353 -4.396 2.538 8.353 0.000 -5.076 8.353" Properties=species:S:1:pos:R:3 pbc="T T T"
Pu 0.000 0.000 0.000
Pa -2.198 -1.269 8.353
Pa -2.198 1.269 16.707
Pa 0.000 2.538 8.353
Tl -4.396 0.000 12.530
Tl -2.198 1.269 4.177
Tl 2.198 1.269 4.177
Te 0.000 -2.474 10.168
Te -2.142 1.237 10.168
Te 0.000 0.000 6.539
Te -2.142 -1.237 14.892
Te 2.142 1.237 10.168
Te 0.000 0.000 18.521
Te 2.142 -1.237 14.892
Te 0.000 2.474 14.892
```

---

Entry 3:
# TmPu2PaTe5

An optimized crystal structure of TmPu2PaTe5 (PBE, Alexandria).

Output
As for the uncorrected formation energy: -449.3 meV per atom. The symmetry is No. 123.

```
9
Lattice="5.628 0.000 0.000 0.000 5.628 0.000 0.000 0.000 11.471" Properties=species:S:1:pos:R:3 pbc="T T T"
Tm 0.000 0.000 0.000
Pu 2.814 2.814 3.796
Pu 2.814 2.814 7.675
Pa 0.000 0.000 5.736
Te 0.000 0.000 2.792
Te 0.000 0.000 8.680
Te 0.000 2.814 5.736
Te 2.814 0.000 5.736
Te 2.814 2.814 0.000
```

---

Entry 4:
# Y2Pu3PaTe6

An optimized crystal structure of Y2Pu3PaTe6 (PBE, Alexandria).

Output
As for the uncorrected formation energy: -1093.3 meV per atom. The symmetry is No. 12.

```
12
Lattice="9.562 -2.176 0.000 9.562 2.176 0.000 -2.007 0.000 8.640" Properties=species:S:1:pos:R:3 pbc="T T T"
Y 2.525 0.000 2.895
Y 14.592 0.000 5.745
Pu 1.474 0.000 7.218
Pu 8.558 0.000 4.320
Pu 15.643 0.000 1.422
Pa 9.562 0.000 0.000
Te -0.471 0.000 2.175
Te 5.519 0.000 3.606
Te 4.527 0.000 7.878
Te 12.590 0.000 0.762
Te 11.598 0.000 5.034
Te 17.588 0.000 6.465
```

---

Entry 5:
# Pu2ThPa

An optimized crystal structure of Pu2ThPa (PBE, Alexandria).

Output
The symmetry is No. 225. For the polymorph energy (0 for the lowest one), the calculation gives 91 meV per atom.

```
4
Lattice="0.000 3.741 3.741 3.741 0.000 3.741 3.741 3.741 0.000" Properties=species:S:1:pos:R:3 pbc="T T T"
Pu 1.870 1.870 1.870
Pu 5.611 5.611 5.611
Th 0.000 0.000 0.000
Pa 3.741 3.741 3.741
```

---

Entry 6:
# PuThPa

An optimized crystal structure of PuThPa (PBE, Alexandria).

Output
The symmetry is No. 107. For the polymorph energy (0 for the lowest one), the calculation gives 31 meV per atom.

```
3
Lattice="-1.721 1.721 6.777 1.721 -1.721 6.777 1.721 1.721 -6.777" Properties=species:S:1:pos:R:3 pbc="T T T"
Pu 0.000 0.000 0.000
Th 0.000 0.000 9.226
Pa 0.000 0.000 4.821
```

---

Entry 7:
# PuTh2Pa

An optimized crystal structure of PuTh2Pa (PBE, Alexandria).

Output
The symmetry is No. 160. For the polymorph energy (0 for the lowest one), the calculation gives 51 meV per atom.

```
4
Lattice="1.713 0.989 11.350 -1.713 0.989 11.350 0.000 -1.978 11.350" Properties=species:S:1:pos:R:3 pbc="T T T"
Pu 0.000 0.000 0.000
Th 0.000 0.000 14.125
Th 0.000 0.000 19.793
Pa 0.000 0.000 28.294
```

---

Entry 8:
# PuTh2Pa

An optimized crystal structure of PuTh2Pa (PBE, Alexandria).

Output
The symmetry is No. 225. For the polymorph energy (0 for the lowest one), the calculation gives 148 meV per atom.

```
4
Lattice="0.000 3.837 3.837 3.837 0.000 3.837 3.837 3.837 0.000" Properties=species:S:1:pos:R:3 pbc="T T T"
Pu 0.000 0.000 0.000
Th 1.919 1.919 1.919
Th 5.756 5.756 5.756
Pa 3.837 3.837 3.837
```

---

no.,density (g/cm³),total magnetic moment (μB per formula unit)
1,13.9,6.67
2,7.6,1.50
3,7.0,13.48
4,8.8,19.28
5,15.1,12.00
6,14.6,5.51
7,13.5,5.79
8,13.8,6.08